Density functional theory data (PBE+U) for a relaxed BeNiHgF6 crystal.

Cell lengths 5.0490, 5.0490, 9.7868 Å; angles 90.00, 90.00, 120.00 degrees
Space group P-31c (No. 163)
Asymmetric unit:
Be1 0.3333 0.6667 0.2500 (multiplicity 2)
Ni1 0.3333 0.6667 0.7500 (multiplicity 2)
Hg1 0.0000 0.0000 0.0000 (multiplicity 2)
F1 0.0343 0.3856 0.1463 (multiplicity 12)

Computed properties:
- Uncorrected energy: -4.16 eV per atom